The following is a PBE+U calculation of crystalline Rb2NaMo2O7 at its relaxed geometry, from the Alexandria database.

Properties
- SG = I4/mmm (139)
- Fermi-level density of states (states/eV/f.u.) = 2.29
- M_tot (μB/f.u.) = 0.89
- calculated volume (Å³ per cell) = 178
- calculated total energy (eV/atom) = -6.06

Geometry as POSCAR:
```
Rb2NaMo2O7
1.0
-2.000 2.000 11.131
2.000 -2.000 11.131
2.000 2.000 -11.131
Rb Na Mo O
2 1 2 7
direct
0.188 0.188 0.000
0.812 0.812 0.000
0.000 0.000 0.000
0.411 0.411 0.000
0.589 0.589 0.000
0.086 0.586 0.500
0.327 0.327 0.000
0.414 0.914 0.500
0.500 0.500 0.000
0.586 0.086 0.500
0.673 0.673 0.000
0.914 0.414 0.500
```